This record from Alexandria describes an optimized crystal structure of RbAc2Nd3Te6. The functional is PBE.

calculated total energy = -4.95 eV/atom
ΔE_f (raw) = -1.421 eV per atom

Cell: 4.5822 9.4966 10.4762 Å, 104.38 102.63 90.00°
With the nearest neighbours (Å) after each atom.
Fractional positions:
Te: 0.9994 0.2681 0.9988  3 Nd 3.18-3.19, 1 Ac 3.34, 2 Rb 3.43
Te: 0.6625 0.5888 0.3250  3 Nd 3.18-3.21, 3 Ac 3.33-3.35
Te: 0.0006 0.7319 0.0012  3 Nd 3.18-3.19, 1 Ac 3.34, 2 Rb 3.43
Te: 0.6748 0.0751 0.3497  3 Nd 3.23-3.29, 2 Ac 3.41, 1 Rb 3.46
Te: 0.3252 0.9249 0.6503  3 Nd 3.23-3.29, 2 Ac 3.41, 1 Rb 3.46
Te: 0.3375 0.4112 0.6750  3 Nd 3.18-3.21, 3 Ac 3.33-3.35
Rb: 0.5000 0.0000 0.0000  6 Te 3.43-3.46
Ac: 0.1681 0.3374 0.3363  6 Te 3.33-3.41
Ac: 0.8319 0.6626 0.6637  6 Te 3.33-3.41
Nd: 0.1621 0.8206 0.3242  6 Te 3.18-3.29
Nd: 0.5000 0.5000 0.0000  6 Te 3.18-3.21
Nd: 0.8379 0.1794 0.6758  6 Te 3.18-3.29

=====

This record from Alexandria describes an optimized crystal structure of Rb4Ac3NdTe8. The functional is PBE.

calculated total energy = -4.35 eV/atom
ΔE_f (raw) = -1.469 eV per atom

Cell: 9.6443 10.2439 9.6446 Å, 118.10 120.00 90.00°
With the nearest neighbours (Å) after each atom.
Fractional positions:
Te: 0.2315 0.7093 0.4630  1 Nd 3.25, 2 Ac 3.35
Te: 0.2617 0.2852 0.5233  3 Ac 3.34, 3 Rb 3.71
Te: 0.2536 0.2908 0.0221  1 Nd 3.24, 2 Ac 3.35
Te: 0.7383 0.7148 0.4767  3 Ac 3.34, 3 Rb 3.71
Te: 0.7464 0.7092 0.9779  1 Nd 3.24, 2 Ac 3.35
Te: 0.2315 0.7092 0.9779  1 Nd 3.24, 2 Ac 3.35
Te: 0.7685 0.2908 0.0221  1 Nd 3.24, 2 Ac 3.35
Te: 0.7685 0.2907 0.5370  1 Nd 3.25, 2 Ac 3.35
Ac: 0.5000 0.5000 0.5000  6 Te 3.34-3.35
Ac: 0.5000 0.5000 0.0000  6 Te 3.34-3.35
Ac: 0.0000 0.5000 0.5000  6 Te 3.34-3.35
Rb: 0.5000 0.0000 0.0000  6 Te 3.80
Rb: 0.0000 0.0000 0.5000  6 Te 3.71
Rb: 0.0000 0.0000 0.0000  6 Te 3.71
Rb: 0.5000 0.0000 0.5000  6 Te 3.71
Nd: 0.0000 0.5000 0.0000  6 Te 3.24-3.25

=====

This record from Alexandria describes an optimized crystal structure of AcNd2Re. The functional is PBE.

ΔH_f (0 K) = 1.001 eV per atom
calculated total energy = -5.52 eV/atom

Cell: 3.4895 3.4895 11.9821 Å, 81.63 81.63 60.00°
With the nearest neighbours (Å) after each atom.
Fractional positions:
Nd: 0.9262 0.9262 0.2212  1 Re 2.61
Nd: 0.0738 0.0738 0.7788  1 Re 2.61
Re: 0.0000 0.0000 0.0000  2 Nd 2.61
Ac: 0.5000 0.5000 0.5000  6 Ac 3.49, 6 Nd 3.86

=====

This record from Alexandria describes an optimized crystal structure of AcNd3Rh2. The functional is PBE.

ΔH_f (0 K) = -0.502 eV per atom
calculated total energy = -6.02 eV/atom
excess energy over the best structure of this formula in the dataset = 0 meV/atom

Cell: 4.3171 8.8763 10.8017 Å, 72.64 78.47 75.93°
With the nearest neighbours (Å) after each atom.
Fractional positions:
Nd: 0.1756 0.1846 0.4642  3 Rh 2.86-2.88
Nd: 0.9212 0.9868 0.1709  3 Rh 2.85-3.01
Nd: 0.7142 0.6640 0.9075  3 Rh 2.85-2.97
Nd: 0.2858 0.3360 0.0925  3 Rh 2.85-2.97
Nd: 0.0788 0.0132 0.8291  3 Rh 2.85-3.01
Nd: 0.8244 0.8154 0.5358  3 Rh 2.86-2.88
Ac: 0.4444 0.3961 0.7151  3 Rh 2.96-3.02
Ac: 0.5556 0.6039 0.2849  3 Rh 2.96-3.02
Rh: 0.8816 0.3153 0.9215  4 Nd 2.85-3.01, 2 Ac 3.02
Rh: 0.1184 0.6847 0.0785  4 Nd 2.85-3.01, 2 Ac 3.02
Rh: 0.6345 0.0839 0.6471  5 Nd 2.85-2.88, 1 Ac 2.96
Rh: 0.3655 0.9161 0.3529  5 Nd 2.85-2.88, 1 Ac 2.96

=====

This record from Alexandria describes an optimized crystal structure of Ac4NdRh3. The functional is PBE.

ΔH_f (0 K) = -0.584 eV per atom
calculated total energy = -5.99 eV/atom

Cell: 7.4660 8.0300 11.0010 Å, 110.62 90.00 117.70°
With the nearest neighbours (Å) after each atom.
Fractional positions:
Rh: 0.6907 0.3819 0.8696  1 Nd 2.90, 5 Ac 2.98-3.04
Rh: 0.9118 0.8088 0.3011  1 Nd 2.91, 5 Ac 2.94-3.04
Rh: 0.3015 0.6041 0.5904  1 Nd 2.88, 5 Ac 2.96-3.03
Rh: 0.3025 0.6041 0.0904  1 Nd 2.88, 5 Ac 2.96-3.03
Rh: 0.8970 0.8088 0.8011  1 Nd 2.91, 5 Ac 2.94-3.04
Rh: 0.6912 0.3819 0.3696  1 Nd 2.90, 5 Ac 2.98-3.04
Ac: 0.4688 0.6000 0.3395  4 Rh 3.01-3.04
Ac: 0.5351 0.4010 0.6260  4 Rh 2.99-3.03
Ac: 0.8659 0.4010 0.1260  4 Rh 2.99-3.03
Ac: 0.1312 0.6000 0.8395  4 Rh 3.01-3.04
Ac: 0.2752 0.2037 0.9395  3 Rh 2.94-2.98
Ac: 0.9285 0.2037 0.4395  3 Rh 2.94-2.98
Ac: 0.7327 0.7921 0.0461  4 Rh 2.97-3.04
Ac: 0.0593 0.7921 0.5461  4 Rh 2.97-3.04
Nd: 0.6684 0.9882 0.7378  3 Rh 2.88-2.91
Nd: 0.3198 0.9882 0.2378  3 Rh 2.88-2.91

=====

This record from Alexandria describes an optimized crystal structure of Ac12NdRh7. The functional is PBE.

ΔH_f (0 K) = -0.552 eV per atom
calculated total energy = -5.83 eV/atom

Cell: 9.5195 9.5195 9.5195 Å, 107.30 107.30 107.30°
With the nearest neighbours (Å) after each atom.
Fractional positions:
Rh: 0.1195 0.0288 0.3513  5 Ac 2.92-3.02, 1 Nd 3.09
Rh: 0.6487 0.8805 0.9712  5 Ac 2.92-3.02, 1 Nd 3.09
Rh: 0.3513 0.1195 0.0288  5 Ac 2.92-3.02, 1 Nd 3.09
Rh: 0.9712 0.6487 0.8805  5 Ac 2.92-3.02, 1 Nd 3.09
Rh: 0.5000 0.5000 0.5000  6 Ac 2.97
Rh: 0.8805 0.9712 0.6487  5 Ac 2.92-3.02, 1 Nd 3.09
Rh: 0.0288 0.3513 0.1195  5 Ac 2.92-3.02, 1 Nd 3.09
Ac: 0.9241 0.3111 0.7787  3 Rh 2.92-2.96
Ac: 0.6258 0.5489 0.8441  3 Rh 2.94-3.02
Ac: 0.1559 0.3742 0.4511  3 Rh 2.94-3.02
Ac: 0.5489 0.8441 0.6258  3 Rh 2.94-3.02
Ac: 0.3111 0.7787 0.9241  3 Rh 2.92-2.96
Ac: 0.8441 0.6258 0.5489  3 Rh 2.94-3.02
Ac: 0.0759 0.6889 0.2213  3 Rh 2.92-2.96
Ac: 0.2213 0.0759 0.6889  3 Rh 2.92-2.96
Ac: 0.7787 0.9241 0.3111  3 Rh 2.92-2.96
Ac: 0.6889 0.2213 0.0759  3 Rh 2.92-2.96
Ac: 0.4511 0.1559 0.3742  3 Rh 2.94-3.02
Ac: 0.3742 0.4511 0.1559  3 Rh 2.94-3.02
Nd: 0.0000 0.0000 0.0000  6 Rh 3.09

=====

This record from Alexandria describes an optimized crystal structure of AcNd2Rh. The functional is PBE.

ΔH_f (0 K) = -0.324 eV per atom
calculated total energy = -5.57 eV/atom
excess energy over the best structure of this formula in the dataset = 96 meV/atom

Cell: 4.0808 4.0808 9.8925 Å, 78.10 78.10 60.00°
With the nearest neighbours (Å) after each atom.
Fractional positions:
Nd: 0.2782 0.2782 0.1655  3 Rh 2.83
Nd: 0.0547 0.0547 0.8360  3 Rh 2.84
Rh: 0.6662 0.6662 0.0014  6 Nd 2.83-2.84
Ac: 0.5010 0.5010 0.4971  6 Nd 3.96-4.02, 6 Ac 4.08

=====

This record from Alexandria describes an optimized crystal structure of AcNd2Rh. The functional is PBE.

ΔH_f (0 K) = -0.281 eV per atom
calculated total energy = -5.53 eV/atom
excess energy over the best structure of this formula in the dataset = 138 meV/atom

Cell: 3.6707 3.6707 9.2434 Å, 90.00 90.00 90.00°
With the nearest neighbours (Å) after each atom.
Fractional positions:
Nd: 0.0000 0.0000 0.8216  4 Rh 3.07, 1 Nd 3.30
Nd: 0.0000 0.0000 0.1784  4 Rh 3.07, 1 Nd 3.30
Rh: 0.5000 0.5000 0.0000  8 Nd 3.07
Ac: 0.5000 0.5000 0.5000  4 Ac 3.67, 8 Nd 3.95

=====

This record from Alexandria describes an optimized crystal structure of AcNd2Rh. The functional is PBE.

ΔH_f (0 K) = -0.419 eV per atom
calculated total energy = -5.67 eV/atom
excess energy over the best structure of this formula in the dataset = 0 meV/atom

Cell: 6.6387 7.4928 10.1943 Å, 90.00 90.00 90.00°
With the nearest neighbours (Å) after each atom.
Fractional positions:
Ac: 0.6454 0.5386 0.2500  2 Rh 2.97-3.13
Ac: 0.3546 0.4614 0.7500  2 Rh 2.97-3.13
Ac: 0.1454 0.9614 0.7500  2 Rh 2.97-3.13
Ac: 0.8546 0.0386 0.2500  2 Rh 2.97-3.13
Nd: 0.3321 0.1732 0.4314  2 Rh 2.93
Nd: 0.1679 0.6732 0.4314  2 Rh 2.93
Nd: 0.3321 0.1732 0.0686  2 Rh 2.93
Nd: 0.8321 0.3268 0.9314  2 Rh 2.93
Nd: 0.1679 0.6732 0.0686  2 Rh 2.93
Nd: 0.6679 0.8268 0.5686  2 Rh 2.93
Nd: 0.6679 0.8268 0.9314  2 Rh 2.93
Nd: 0.8321 0.3268 0.5686  2 Rh 2.93
Rh: 0.4183 0.8796 0.2500  4 Nd 2.93, 2 Ac 2.97-3.13
Rh: 0.9183 0.6204 0.7500  4 Nd 2.93, 2 Ac 2.97-3.13
Rh: 0.5817 0.1204 0.7500  4 Nd 2.93, 2 Ac 2.97-3.13
Rh: 0.0817 0.3796 0.2500  4 Nd 2.93, 2 Ac 2.97-3.13

=====

This record from Alexandria describes an optimized crystal structure of AcNdRh4. The functional is PBE.

ΔH_f (0 K) = -0.604 eV per atom
calculated total energy = -6.98 eV/atom

Cell: 5.4850 5.4850 5.4850 Å, 60.00 60.00 60.00°
With the nearest neighbours (Å) after each atom.
Fractional positions:
Rh: 0.6245 0.6245 0.6245  6 Rh 2.73-2.75
Rh: 0.6245 0.6245 0.1265  6 Rh 2.73-2.75
Rh: 0.1265 0.6245 0.6245  6 Rh 2.73-2.75
Rh: 0.6245 0.1265 0.6245  6 Rh 2.73-2.75
Nd: 0.2500 0.2500 0.2500  12 Rh 3.21, 4 Ac 3.36
Ac: 0.0000 0.0000 0.0000  12 Rh 3.22, 4 Nd 3.36

=====

This record from Alexandria describes an optimized crystal structure of AcNd3Rh2. The functional is PBE.

ΔH_f (0 K) = -0.375 eV per atom
calculated total energy = -5.89 eV/atom
excess energy over the best structure of this formula in the dataset = 127 meV/atom

Cell: 5.1420 9.5141 8.7995 Å, 124.04 90.00 105.68°
With the nearest neighbours (Å) after each atom.
Fractional positions:
Nd: 0.9317 0.8634 0.5869  3 Rh 2.96-3.15
Nd: 0.3675 0.7349 0.2433  4 Rh 2.93-3.13
Nd: 0.0683 0.1366 0.4131  3 Rh 2.96-3.15
Nd: 0.6325 0.2651 0.7567  4 Rh 2.93-3.13
Nd: 0.6860 0.3719 0.3845  2 Rh 2.76-2.98
Nd: 0.3140 0.6281 0.6155  2 Rh 2.76-2.98
Rh: 0.2242 0.4484 0.8098  5 Nd 2.96-3.13
Rh: 0.7758 0.5516 0.1902  5 Nd 2.96-3.13
Rh: 0.4992 0.9984 0.8402  2 Nd 2.76-2.93, 1 Rh 2.79
Rh: 0.5008 0.0016 0.1598  2 Nd 2.76-2.93, 1 Rh 2.79
Ac: 0.8730 0.7460 0.9544  5 Rh 3.23-3.43, 3 Nd 3.51-3.60
Ac: 0.1270 0.2540 0.0456  5 Rh 3.23-3.43, 3 Nd 3.51-3.60

=====

This record from Alexandria describes an optimized crystal structure of AcNd3Rh8. The functional is PBE.

ΔH_f (0 K) = -0.587 eV per atom
calculated total energy = -7.02 eV/atom

Cell: 5.4452 5.4452 8.9620 Å, 90.00 90.00 120.00°
With the nearest neighbours (Å) after each atom.
Fractional positions:
Rh: 0.3333 0.6667 0.0003  6 Rh 2.71
Rh: 0.6670 0.8335 0.2464  6 Rh 2.71-2.76
Rh: 0.9977 0.4989 0.7546  6 Rh 2.70-2.78
Rh: 0.5011 0.4989 0.7546  6 Rh 2.70-2.78
Rh: 0.5011 0.0023 0.7546  6 Rh 2.70-2.78
Rh: 0.3333 0.6667 0.4990  6 Rh 2.76-2.78
Rh: 0.1665 0.8335 0.2464  6 Rh 2.71-2.76
Rh: 0.1665 0.3330 0.2464  6 Rh 2.71-2.76
Nd: 0.0000 0.0000 0.9350  12 Rh 3.17-3.20, 1 Ac 3.29, 3 Nd 3.36
Nd: 0.6667 0.3333 0.4281  12 Rh 3.17-3.32, 1 Nd 3.24, 3 Ac 3.39
Nd: 0.6667 0.3333 0.0666  12 Rh 3.16-3.20, 4 Nd 3.24-3.36
Ac: 0.0000 0.0000 0.5682  12 Rh 3.19-3.28, 4 Nd 3.29-3.39